(1)
Below is a geometry-optimized Pd3RhN structure, with properties calculated at the PBE-GGA level.

Cell and atoms, written as CIF:
```
data_Pd3RhN
_chemical_formula_sum 'Pd3 Rh1 N1'
_cell_length_a 4.123
_cell_length_b 4.123
_cell_length_c 4.123
_cell_angle_alpha 90.00
_cell_angle_beta 90.00
_cell_angle_gamma 90.00
_symmetry_space_group_name_H-M 'P 1'
_symmetry_Int_Tables_number 1
_symmetry_space_group_name_Hall 'P 1'
loop_
_atom_site_label
_atom_site_type_symbol
_atom_site_fract_x
_atom_site_fract_y
_atom_site_fract_z
Rh1 Rh 0.500 0.500 0.500
Pd1 Pd 0.000 0.500 0.000
Pd2 Pd 0.500 0.000 0.000
Pd3 Pd 0.000 0.000 0.500
N1 N 0.000 0.000 0.000
```

energy relative to the elements, uncorrected = 460 meV per atom
ρ = 10.3 g cm⁻³
DOS(E_F) = 6.3 states/eV/f.u.
total magnetization = 0.00 μB per cell

---

(2)
Below is a geometry-optimized Pd3RhN structure, with properties calculated at the PBE-GGA level.

Cell and atoms, written as CIF:
```
data_Pd3RhN
_chemical_formula_sum 'Pd3 Rh1 N1'
_cell_length_a 4.872
_cell_length_b 4.872
_cell_length_c 4.872
_cell_angle_alpha 90.00
_cell_angle_beta 90.00
_cell_angle_gamma 90.00
_symmetry_space_group_name_H-M 'P 1'
_symmetry_Int_Tables_number 1
_symmetry_space_group_name_Hall 'P 1'
loop_
_atom_site_label
_atom_site_type_symbol
_atom_site_fract_x
_atom_site_fract_y
_atom_site_fract_z
Pd1 Pd 0.500 0.000 0.000
Pd2 Pd 0.000 0.000 0.500
N1 N 0.500 0.500 0.500
Rh1 Rh 0.000 0.000 0.000
Pd3 Pd 0.000 0.500 0.000
```

energy relative to the elements, uncorrected = 2123 meV per atom
ρ = 6.3 g cm⁻³
DOS(E_F) = 4.9 states/eV/f.u.
total magnetization = 4.73 μB per cell

---

(3)
Below is a geometry-optimized PdRuRh2N structure, with properties calculated at the PBE-GGA level.

Cell and atoms, written as CIF:
```
data_PdRuRh2N
_chemical_formula_sum 'Pd1 Ru1 Rh2 N1'
_cell_length_a 4.092
_cell_length_b 4.092
_cell_length_c 3.984
_cell_angle_alpha 90.00
_cell_angle_beta 90.00
_cell_angle_gamma 90.00
_symmetry_space_group_name_H-M 'P 1'
_symmetry_Int_Tables_number 1
_symmetry_space_group_name_Hall 'P 1'
loop_
_atom_site_label
_atom_site_type_symbol
_atom_site_fract_x
_atom_site_fract_y
_atom_site_fract_z
Rh1 Rh 0.000 0.500 0.000
Rh2 Rh 0.500 0.000 0.000
Ru1 Ru 0.000 0.000 0.500
Pd1 Pd 0.500 0.500 0.500
N1 N 0.000 0.000 0.000
```

energy relative to the elements, uncorrected = 277 meV per atom
ρ = 10.6 g cm⁻³
DOS(E_F) = 7.7 states/eV/f.u.
total magnetization = 0.00 μB per cell

---

(4)
Below is a geometry-optimized SrPdRh2N structure, with properties calculated at the PBE-GGA level.

Cell and atoms, written as CIF:
```
data_SrPdRh2N
_chemical_formula_sum 'Sr1 Pd1 Rh2 N1'
_cell_length_a 4.028
_cell_length_b 5.128
_cell_length_c 4.028
_cell_angle_alpha 90.00
_cell_angle_beta 90.00
_cell_angle_gamma 90.00
_symmetry_space_group_name_H-M 'P 1'
_symmetry_Int_Tables_number 1
_symmetry_space_group_name_Hall 'P 1'
loop_
_atom_site_label
_atom_site_type_symbol
_atom_site_fract_x
_atom_site_fract_y
_atom_site_fract_z
Sr1 Sr 0.000 0.500 0.000
Pd1 Pd 0.500 0.500 0.500
Rh1 Rh 0.000 0.000 0.500
N1 N 0.000 0.000 0.000
Rh2 Rh 0.500 0.000 0.000
```

energy relative to the elements, uncorrected = -103 meV per atom
ρ = 8.3 g cm⁻³
DOS(E_F) = 1.7 states/eV/f.u.
total magnetization = 0.00 μB per cell

---

(5)
Below is a geometry-optimized TcPdRh2N structure, with properties calculated at the PBE-GGA level.

Cell and atoms, written as CIF:
```
data_TcPdRh2N
_chemical_formula_sum 'Tc1 Pd1 Rh2 N1'
_cell_length_a 4.091
_cell_length_b 4.091
_cell_length_c 3.999
_cell_angle_alpha 90.00
_cell_angle_beta 90.00
_cell_angle_gamma 90.00
_symmetry_space_group_name_H-M 'P 1'
_symmetry_Int_Tables_number 1
_symmetry_space_group_name_Hall 'P 1'
loop_
_atom_site_label
_atom_site_type_symbol
_atom_site_fract_x
_atom_site_fract_y
_atom_site_fract_z
Rh1 Rh 0.000 0.500 0.000
Pd1 Pd 0.500 0.500 0.500
N1 N 0.000 0.000 0.000
Tc1 Tc 0.000 0.000 0.500
Rh2 Rh 0.500 0.000 0.000
```

energy relative to the elements, uncorrected = 181 meV per atom
ρ = 10.5 g cm⁻³
DOS(E_F) = 7.3 states/eV/f.u.
total magnetization = 0.00 μB per cell

---

(6)
Below is a geometry-optimized YPdRh2N structure, with properties calculated at the PBE-GGA level.

Cell and atoms, written as CIF:
```
data_YPdRh2N
_chemical_formula_sum 'Y1 Pd1 Rh2 N1'
_cell_length_a 4.051
_cell_length_b 4.051
_cell_length_c 4.703
_cell_angle_alpha 90.00
_cell_angle_beta 90.00
_cell_angle_gamma 90.00
_symmetry_space_group_name_H-M 'P 1'
_symmetry_Int_Tables_number 1
_symmetry_space_group_name_Hall 'P 1'
loop_
_atom_site_label
_atom_site_type_symbol
_atom_site_fract_x
_atom_site_fract_y
_atom_site_fract_z
Rh1 Rh 0.500 0.000 0.000
Pd1 Pd 0.500 0.500 0.500
Rh2 Rh 0.000 0.500 0.000
Y1 Y 0.000 0.000 0.500
N1 N 0.000 0.000 0.000
```

energy relative to the elements, uncorrected = -479 meV per atom
ρ = 8.9 g cm⁻³
DOS(E_F) = 3.6 states/eV/f.u.
total magnetization = 0.00 μB per cell

---

(7)
Below is a geometry-optimized PdRuN2 structure, with properties calculated at the PBE-GGA level.

Cell and atoms, written as CIF:
```
data_PdRuN2
_chemical_formula_sum 'Pd2 Ru2 N4'
_cell_length_a 4.800
_cell_length_b 4.800
_cell_length_c 5.581
_cell_angle_alpha 64.53
_cell_angle_beta 64.53
_cell_angle_gamma 90.00
_symmetry_space_group_name_H-M 'P 1'
_symmetry_Int_Tables_number 1
_symmetry_space_group_name_Hall 'P 1'
loop_
_atom_site_label
_atom_site_type_symbol
_atom_site_fract_x
_atom_site_fract_y
_atom_site_fract_z
Pd1 Pd 0.000 0.000 0.000
Ru1 Ru 0.500 0.500 0.000
Ru2 Ru 0.250 0.750 0.500
Pd2 Pd 0.750 0.250 0.500
N1 N 0.375 0.417 0.750
N2 N 0.583 0.125 0.250
N3 N 0.167 0.625 0.250
N4 N 0.875 0.833 0.750
```

energy relative to the elements, uncorrected = 502 meV per atom
ρ = 7.7 g cm⁻³
DOS(E_F) = 2.4 states/eV/f.u.
total magnetization = 0.00 μB per cell

---

(8)
Below is a geometry-optimized PdRuN2 structure, with properties calculated at the PBE-GGA level.

Cell and atoms, written as CIF:
```
data_PdRuN2
_chemical_formula_sum 'Pd1 Ru1 N2'
_cell_length_a 6.627
_cell_length_b 6.627
_cell_length_c 6.627
_cell_angle_alpha 25.07
_cell_angle_beta 25.07
_cell_angle_gamma 25.07
_symmetry_space_group_name_H-M 'P 1'
_symmetry_Int_Tables_number 1
_symmetry_space_group_name_Hall 'P 1'
loop_
_atom_site_label
_atom_site_type_symbol
_atom_site_fract_x
_atom_site_fract_y
_atom_site_fract_z
N1 N 0.103 0.103 0.103
N2 N 0.897 0.897 0.897
Ru1 Ru 0.500 0.500 0.500
Pd1 Pd 0.000 0.000 0.000
```

energy relative to the elements, uncorrected = 542 meV per atom
ρ = 8.5 g cm⁻³
DOS(E_F) = 3.5 states/eV/f.u.
total magnetization = 0.00 μB per cell

---

(9)
Below is a geometry-optimized PdRuN2 structure, with properties calculated at the PBE-GGA level.

Cell and atoms, written as CIF:
```
data_PdRuN2
_chemical_formula_sum 'Pd1 Ru1 N2'
_cell_length_a 3.860
_cell_length_b 3.860
_cell_length_c 3.860
_cell_angle_alpha 60.00
_cell_angle_beta 60.00
_cell_angle_gamma 60.00
_symmetry_space_group_name_H-M 'P 1'
_symmetry_Int_Tables_number 1
_symmetry_space_group_name_Hall 'P 1'
loop_
_atom_site_label
_atom_site_type_symbol
_atom_site_fract_x
_atom_site_fract_y
_atom_site_fract_z
N1 N 0.750 0.750 0.750
N2 N 0.250 0.250 0.250
Ru1 Ru 0.000 0.000 0.000
Pd1 Pd 0.500 0.500 0.500
```

energy relative to the elements, uncorrected = 1406 meV per atom
ρ = 9.6 g cm⁻³
DOS(E_F) = 4.2 states/eV/f.u.
total magnetization = 0.00 μB per cell

---

(10)
Below is a geometry-optimized Pd3RuN structure, with properties calculated at the PBE-GGA level.

Cell and atoms, written as CIF:
```
data_Pd3RuN
_chemical_formula_sum 'Pd3 Ru1 N1'
_cell_length_a 4.821
_cell_length_b 4.821
_cell_length_c 4.821
_cell_angle_alpha 90.00
_cell_angle_beta 90.00
_cell_angle_gamma 90.00
_symmetry_space_group_name_H-M 'P 1'
_symmetry_Int_Tables_number 1
_symmetry_space_group_name_Hall 'P 1'
loop_
_atom_site_label
_atom_site_type_symbol
_atom_site_fract_x
_atom_site_fract_y
_atom_site_fract_z
Ru1 Ru 0.000 0.000 0.000
Pd1 Pd 0.500 0.000 0.000
Pd2 Pd 0.000 0.500 0.000
N1 N 0.500 0.500 0.500
Pd3 Pd 0.000 0.000 0.500
```

energy relative to the elements, uncorrected = 2207 meV per atom
ρ = 6.4 g cm⁻³
DOS(E_F) = 6.1 states/eV/f.u.
total magnetization = 3.84 μB per cell

---

(11)
Below is a geometry-optimized PdRuN3 structure, with properties calculated at the PBE-GGA level.

Cell and atoms, written as CIF:
```
data_PdRuN3
_chemical_formula_sum 'Pd1 Ru1 N3'
_cell_length_a 3.853
_cell_length_b 3.853
_cell_length_c 3.853
_cell_angle_alpha 90.00
_cell_angle_beta 90.00
_cell_angle_gamma 90.00
_symmetry_space_group_name_H-M 'P 1'
_symmetry_Int_Tables_number 1
_symmetry_space_group_name_Hall 'P 1'
loop_
_atom_site_label
_atom_site_type_symbol
_atom_site_fract_x
_atom_site_fract_y
_atom_site_fract_z
N1 N 0.500 0.000 0.000
Pd1 Pd 0.500 0.500 0.500
Ru1 Ru 0.000 0.000 0.000
N2 N 0.000 0.000 0.500
N3 N 0.000 0.500 0.000
```

energy relative to the elements, uncorrected = 1453 meV per atom
ρ = 7.2 g cm⁻³
DOS(E_F) = 4.3 states/eV/f.u.
total magnetization = 1.42 μB per cell

---

(12)
Below is a geometry-optimized PdRuN3 structure, with properties calculated at the PBE-GGA level.

Cell and atoms, written as CIF:
```
data_PdRuN3
_chemical_formula_sum 'Pd1 Ru1 N3'
_cell_length_a 3.863
_cell_length_b 3.863
_cell_length_c 3.863
_cell_angle_alpha 90.00
_cell_angle_beta 90.00
_cell_angle_gamma 90.00
_symmetry_space_group_name_H-M 'P 1'
_symmetry_Int_Tables_number 1
_symmetry_space_group_name_Hall 'P 1'
loop_
_atom_site_label
_atom_site_type_symbol
_atom_site_fract_x
_atom_site_fract_y
_atom_site_fract_z
N1 N 0.000 0.000 0.500
N2 N 0.000 0.500 0.000
Ru1 Ru 0.500 0.500 0.500
N3 N 0.500 0.000 0.000
Pd1 Pd 0.000 0.000 0.000
```

energy relative to the elements, uncorrected = 2338 meV per atom
ρ = 7.2 g cm⁻³
DOS(E_F) = 4.6 states/eV/f.u.
total magnetization = 0.02 μB per cell

---

(13)
Below is a geometry-optimized PdRuN structure, with properties calculated at the PBE-GGA level.

Cell and atoms, written as CIF:
```
data_PdRuN
_chemical_formula_sum 'Pd4 Ru4 N4'
_cell_length_a 4.099
_cell_length_b 8.242
_cell_length_c 7.211
_cell_angle_alpha 42.32
_cell_angle_beta 90.00
_cell_angle_gamma 90.00
_symmetry_space_group_name_H-M 'P 1'
_symmetry_Int_Tables_number 1
_symmetry_space_group_name_Hall 'P 1'
loop_
_atom_site_label
_atom_site_type_symbol
_atom_site_fract_x
_atom_site_fract_y
_atom_site_fract_z
N1 N 0.250 0.205 0.113
Pd1 Pd 0.750 0.213 0.136
Ru1 Ru 0.250 0.142 0.925
Ru2 Ru 0.750 0.358 0.575
Ru3 Ru 0.250 0.642 0.425
Pd2 Pd 0.750 0.713 0.636
Pd3 Pd 0.250 0.287 0.364
N2 N 0.750 0.295 0.387
Ru4 Ru 0.750 0.858 0.075
N3 N 0.750 0.795 0.887
N4 N 0.250 0.705 0.613
Pd4 Pd 0.250 0.787 0.864
```

energy relative to the elements, uncorrected = 528 meV per atom
ρ = 9.0 g cm⁻³
DOS(E_F) = 1.8 states/eV/f.u.
total magnetization = 0.00 μB per cell

---

(14)
Below is a geometry-optimized Pd3RuN structure, with properties calculated at the PBE-GGA level.

Cell and atoms, written as CIF:
```
data_Pd3RuN
_chemical_formula_sum 'Pd3 Ru1 N1'
_cell_length_a 4.152
_cell_length_b 4.152
_cell_length_c 4.152
_cell_angle_alpha 90.00
_cell_angle_beta 90.00
_cell_angle_gamma 90.00
_symmetry_space_group_name_H-M 'P 1'
_symmetry_Int_Tables_number 1
_symmetry_space_group_name_Hall 'P 1'
loop_
_atom_site_label
_atom_site_type_symbol
_atom_site_fract_x
_atom_site_fract_y
_atom_site_fract_z
Pd1 Pd 0.000 0.000 0.500
Ru1 Ru 0.500 0.500 0.500
N1 N 0.000 0.000 0.000
Pd2 Pd 0.500 0.000 0.000
Pd3 Pd 0.000 0.500 0.000
```

energy relative to the elements, uncorrected = 656 meV per atom
ρ = 10.1 g cm⁻³
DOS(E_F) = 5.9 states/eV/f.u.
total magnetization = 2.89 μB per cell